(1)
# PaSiOsN, relaxed, DFT PBE-GGA
# DOS at the Fermi energy ... 4.2 states/eV per cell
# E ... -9.63 eV per atom
# Formation energy (no corrections) ... -1.01 eV per atom
data_PaSiOsN
_symmetry_space_group_name_H-M 'P 4/n m m'
_symmetry_Int_Tables_number 129
_cell_length_a 4.095
_cell_length_b 4.095
_cell_length_c 7.572
_cell_angle_alpha 90.00
_cell_angle_beta 90.00
_cell_angle_gamma 90.00
loop_
_symmetry_equiv_pos_as_xyz
'x,y,z'
'-x,-y,-z'
'-y+1/2,x,z'
'y+1/2,-x,-z'
'-x+1/2,-y+1/2,z'
'x+1/2,y+1/2,-z'
'y,-x+1/2,z'
'-y,x+1/2,-z'
'x+1/2,-y,-z'
'-x+1/2,y,z'
'-y,-x,-z'
'y,x,z'
'-x,y+1/2,-z'
'x,-y+1/2,z'
'y+1/2,x+1/2,-z'
'-y+1/2,-x+1/2,z'
loop_
_atom_site_label
_atom_site_type_symbol
_atom_site_fract_x
_atom_site_fract_y
_atom_site_fract_z
Pa1 Pa 0.250 0.250 0.145
Si1 Si 0.250 0.250 0.659
Os1 Os 0.250 0.750 0.500
N1 N 0.250 0.750 0.000



(2)
# Sr4Pa3OsN8, relaxed, DFT PBE-GGA
# DOS at the Fermi energy ... 19.6 states/eV per cell
# E ... -8.09 eV per atom
# Formation energy (no corrections) ... -1.02 eV per atom
data_Sr4Pa3OsN8
_symmetry_space_group_name_H-M 'R -3 m'
_symmetry_Int_Tables_number 166
_symmetry_space_group_name_Hall '-R 3 2"'
_cell_length_a 7.0209
_cell_length_b 7.0209
_cell_length_c 17.8865
_cell_angle_alpha 90.00
_cell_angle_beta 90.00
_cell_angle_gamma 120.00
loop_
_atom_site_label
_atom_site_type_symbol
_atom_site_fract_x
_atom_site_fract_y
_atom_site_fract_z
Sr1 Sr 0.0000 0.0000 0.0000
Sr2 Sr 0.0000 0.5000 0.0000
Pa1 Pa 0.0000 0.5000 0.5000
Os1 Os 0.0000 0.0000 0.5000
N1 N 0.0000 0.0000 0.2333
N2 N 0.0070 0.5035 0.7663



(3)
# SrPa2OsN5, relaxed, DFT PBE-GGA
# DOS at the Fermi energy ... 19.9 states/eV per cell
# E ... -9.19 eV per atom
# Formation energy (no corrections) ... -1.02 eV per atom
data_SrPa2OsN5
_symmetry_space_group_name_H-M 'I 4/m c m'
_symmetry_Int_Tables_number 140
_symmetry_space_group_name_Hall '-I 4 2c'
_cell_length_a 6.648
_cell_length_b 6.648
_cell_length_c 11.770
_cell_angle_alpha 90.00
_cell_angle_beta 90.00
_cell_angle_gamma 90.00
loop_
_atom_site_label
_atom_site_type_symbol
_atom_site_fract_x
_atom_site_fract_y
_atom_site_fract_z
Sr1 Sr 0.000 0.000 0.250
Pa1 Pa 0.185 0.315 0.000
Os1 Os 0.000 0.500 0.250
N1 N 0.000 0.000 0.000
N2 N 0.139 0.361 0.373



(4)
# SrPaOsN4, relaxed, DFT PBE-GGA
# DOS at the Fermi energy ... 7.1 states/eV per cell
# E ... -8.55 eV per atom
# Formation energy (no corrections) ... -0.59 eV per atom
data_SrPaOsN4
_symmetry_space_group_name_H-M 'P 1 21/m 1'
_symmetry_Int_Tables_number 11
_symmetry_space_group_name_Hall '-P 2yb'
_cell_length_a 6.061
_cell_length_b 5.501
_cell_length_c 7.066
_cell_angle_alpha 90.00
_cell_angle_beta 107.71
_cell_angle_gamma 90.00
loop_
_atom_site_label
_atom_site_type_symbol
_atom_site_fract_x
_atom_site_fract_y
_atom_site_fract_z
Sr1 Sr 0.211 0.250 0.448
Pa1 Pa 0.292 0.250 0.973
Os1 Os 0.253 0.750 0.181
N1 N 0.053 0.750 0.927
N2 N 0.070 0.750 0.343
N3 N 0.490 0.018 0.795



(5)
# SrPa2OsN4, relaxed, DFT PBE-GGA
# DOS at the Fermi energy ... 8.0 states/eV per cell
# E ... -8.79 eV per atom
# Formation energy (no corrections) ... -0.64 eV per atom
data_SrPa2OsN4
_symmetry_space_group_name_H-M 'I -4 2 m'
_symmetry_Int_Tables_number 121
_symmetry_space_group_name_Hall 'I -4 2'
_cell_length_a 5.739
_cell_length_b 5.739
_cell_length_c 8.214
_cell_angle_alpha 90.00
_cell_angle_beta 90.00
_cell_angle_gamma 90.00
loop_
_atom_site_label
_atom_site_type_symbol
_atom_site_fract_x
_atom_site_fract_y
_atom_site_fract_z
Sr1 Sr 0.000 0.000 0.000
Pa1 Pa 0.000 0.500 0.250
Os1 Os 0.000 0.000 0.500
N1 N 0.165 0.165 0.687



(6)
# SrPa3Os4N12, relaxed, DFT PBE-GGA
# DOS at the Fermi energy ... 27.1 states/eV per cell
# E ... -9.05 eV per atom
# Formation energy (no corrections) ... -0.30 eV per atom
data_SrPa3Os4N12
_symmetry_space_group_name_H-M 'R 3 2'
_symmetry_Int_Tables_number 155
_symmetry_space_group_name_Hall 'R 3 2"'
_cell_length_a 11.3897
_cell_length_b 11.3897
_cell_length_c 9.2460
_cell_angle_alpha 90.00
_cell_angle_beta 90.00
_cell_angle_gamma 120.00
loop_
_atom_site_label
_atom_site_type_symbol
_atom_site_fract_x
_atom_site_fract_y
_atom_site_fract_z
Sr1 Sr 0.0000 0.0000 0.0000
Pa1 Pa 0.0000 0.5567 0.0000
Os1 Os 0.0000 0.0000 0.5000
Os2 Os 0.0000 0.4452 0.5000
N1 N 0.0000 0.6071 0.5000
N2 N 0.0000 0.8395 0.5000
N3 N 0.0384 0.2118 0.1896



(7)
# Sr2PaOs2N6, relaxed, DFT PBE-GGA
# DOS at the Fermi energy ... 15.6 states/eV per cell
# E ... -8.26 eV per atom
# Formation energy (no corrections) ... -0.51 eV per atom
data_Sr2PaOs2N6
_symmetry_space_group_name_H-M 'C 1 2/m 1'
_symmetry_Int_Tables_number 12
_symmetry_space_group_name_Hall '-C 2y'
_cell_length_a 10.737
_cell_length_b 5.897
_cell_length_c 6.975
_cell_angle_alpha 90.00
_cell_angle_beta 122.20
_cell_angle_gamma 90.00
loop_
_atom_site_label
_atom_site_type_symbol
_atom_site_fract_x
_atom_site_fract_y
_atom_site_fract_z
Sr1 Sr 0.212 0.000 0.169
Pa1 Pa 0.000 0.000 0.500
Os1 Os 0.057 0.500 0.279
N1 N 0.058 0.244 0.788
N2 N 0.246 0.500 0.368



(8)
# Pa2TcOsN6, relaxed, DFT PBE-GGA
# DOS at the Fermi energy ... 17.5 states/eV per cell
# E ... -9.78 eV per atom
# Formation energy (no corrections) ... -0.73 eV per atom
data_Pa2TcOsN6
_symmetry_space_group_name_H-M 'R 3'
_symmetry_Int_Tables_number 146
_symmetry_space_group_name_Hall 'R 3'
_cell_length_a 5.5283
_cell_length_b 5.5283
_cell_length_c 14.0857
_cell_angle_alpha 90.00
_cell_angle_beta 90.00
_cell_angle_gamma 120.00
loop_
_atom_site_label
_atom_site_type_symbol
_atom_site_fract_x
_atom_site_fract_y
_atom_site_fract_z
Pa1 Pa 0.0000 0.0000 0.0000
Pa2 Pa 0.0000 0.0000 0.4955
Tc1 Tc 0.0000 0.0000 0.2163
Os1 Os 0.0000 0.0000 0.7093
N1 N 0.0638 0.3500 0.7824
N2 N 0.0689 0.7214 0.2836



(9)
# Pa2ZnOsN6, relaxed, DFT PBE-GGA
# DOS at the Fermi energy ... 2.2 states/eV per cell
# E ... -8.57 eV per atom
# Formation energy (no corrections) ... -0.43 eV per atom
data_Pa2ZnOsN6
_symmetry_space_group_name_H-M 'P 4 m m'
_symmetry_Int_Tables_number 99
_symmetry_space_group_name_Hall 'P 4 -2'
_cell_length_a 5.298
_cell_length_b 5.298
_cell_length_c 4.998
_cell_angle_alpha 90.00
_cell_angle_beta 90.00
_cell_angle_gamma 90.00
loop_
_atom_site_label
_atom_site_type_symbol
_atom_site_fract_x
_atom_site_fract_y
_atom_site_fract_z
Pa1 Pa 0.000 0.500 0.000
Zn1 Zn 0.000 0.000 0.560
Os1 Os 0.500 0.500 0.593
N1 N 0.000 0.000 0.171
N2 N 0.259 0.259 0.758
N3 N 0.500 0.500 0.240



(10)
# OsPbN3, relaxed, DFT PBE-GGA
# DOS at the Fermi energy ... 5.7 states/eV per cell
# E ... -4.85 eV per atom
# Formation energy (no corrections) ... 3.14 eV per atom
data_OsPbN3
_symmetry_space_group_name_H-M 'P m -3 m'
_symmetry_Int_Tables_number 221
_symmetry_space_group_name_Hall '-P 4 2 3'
_cell_length_a 4.179
_cell_length_b 4.179
_cell_length_c 4.179
_cell_angle_alpha 90.00
_cell_angle_beta 90.00
_cell_angle_gamma 90.00
loop_
_atom_site_label
_atom_site_type_symbol
_atom_site_fract_x
_atom_site_fract_y
_atom_site_fract_z
Os1 Os 0.000 0.000 0.000
Pb1 Pb 0.500 0.500 0.500
N1 N 0.000 0.500 0.500



(11)
# OsPbN3, relaxed, DFT PBE-GGA
# DOS at the Fermi energy ... 3.1 states/eV per cell
# E ... -7.15 eV per atom
# Formation energy (no corrections) ... 0.83 eV per atom
data_OsPbN3
_symmetry_space_group_name_H-M 'P m -3 m'
_symmetry_Int_Tables_number 221
_symmetry_space_group_name_Hall '-P 4 2 3'
_cell_length_a 3.951
_cell_length_b 3.951
_cell_length_c 3.951
_cell_angle_alpha 90.00
_cell_angle_beta 90.00
_cell_angle_gamma 90.00
loop_
_atom_site_label
_atom_site_type_symbol
_atom_site_fract_x
_atom_site_fract_y
_atom_site_fract_z
Os1 Os 0.000 0.000 0.000
Pb1 Pb 0.500 0.500 0.500
N1 N 0.000 0.000 0.500



(12)
# OsPb3N, relaxed, DFT PBE-GGA
# DOS at the Fermi energy ... 3.3 states/eV per cell
# Energy relative to the lowest polymorph listed for this composition ... 0.00 eV per formula unit
# E ... -4.85 eV per atom
# Formation energy (no corrections) ... 1.28 eV per atom
data_OsPb3N
_symmetry_space_group_name_H-M 'P m -3 m'
_symmetry_Int_Tables_number 221
_symmetry_space_group_name_Hall '-P 4 2 3'
_cell_length_a 4.811
_cell_length_b 4.811
_cell_length_c 4.811
_cell_angle_alpha 90.00
_cell_angle_beta 90.00
_cell_angle_gamma 90.00
loop_
_atom_site_label
_atom_site_type_symbol
_atom_site_fract_x
_atom_site_fract_y
_atom_site_fract_z
Os1 Os 0.000 0.000 0.000
Pb1 Pb 0.000 0.500 0.500
N1 N 0.500 0.500 0.500



> Which value of E does entry 1 give?

-9.63 eV per atom



Repeat the eleventh record exactly.
# OsPbN3, relaxed, DFT PBE-GGA
# DOS at the Fermi energy ... 3.1 states/eV per cell
# E ... -7.15 eV per atom
# Formation energy (no corrections) ... 0.83 eV per atom
data_OsPbN3
_symmetry_space_group_name_H-M 'P m -3 m'
_symmetry_Int_Tables_number 221
_symmetry_space_group_name_Hall '-P 4 2 3'
_cell_length_a 3.951
_cell_length_b 3.951
_cell_length_c 3.951
_cell_angle_alpha 90.00
_cell_angle_beta 90.00
_cell_angle_gamma 90.00
loop_
_atom_site_label
_atom_site_type_symbol
_atom_site_fract_x
_atom_site_fract_y
_atom_site_fract_z
Os1 Os 0.000 0.000 0.000
Pb1 Pb 0.500 0.500 0.500
N1 N 0.000 0.000 0.500